# 1
Below is Rb5HF4 after structural relaxation, with properties calculated at the PBE level.

Cell: 4.085 7.091 9.145 Å, 75.13 77.10 73.26°
Fractional coordinates of all 10 atoms:
Rb  0.201  0.901  0.696
Rb  0.799  0.099  0.304
Rb  0.397  0.310  0.896
Rb  0.000  0.500  0.500
Rb  0.603  0.690  0.104
H  0.000  0.000  0.000
F  0.599  0.203  0.599
F  0.201  0.397  0.202
F  0.799  0.603  0.798
F  0.401  0.797  0.401

- Total magnetic moment: 0.01 μB per cell
- Volume: 24.19 Å³ per atom
- Energy: -3.74 eV/atom

# 2
Below is CaZrIn2 after structural relaxation, with properties calculated at the PBE level.

Cell: 3.391 3.391 9.136 Å, 90.00 90.00 91.27°
Fractional coordinates of all 4 atoms:
Ca  0.500  0.500  0.758
Zr  0.000  0.000  0.469
In  0.000  0.000  0.019
In  0.500  0.500  0.254

- Total magnetic moment: 0.00 μB per cell
- Energy relative to the elements: -0.0269 eV/atom
- Volume: 26.26 Å³ per atom
- Energy: -4.03 eV/atom

# 3
Below is ScReW2 after structural relaxation, with properties calculated at the PBE level.

Cell: 5.394 5.394 4.505 Å, 65.36 65.36 34.23°
Fractional coordinates of all 4 atoms:
Re  0.750  0.750  0.750
Sc  0.250  0.250  0.250
W  0.013  0.013  0.987
W  0.487  0.487  0.513

- Total magnetic moment: 0.00 μB per cell
- Energy relative to the elements: -0.0180 eV/atom
- ΔE to the lowest computed polymorph: 0.0 kJ/mol of atoms
- Volume: 16.58 Å³ per atom
- Energy: -11.19 eV/atom

# 4
Below is LaCr2Au after structural relaxation, with properties calculated at the PBE level.

Cell: 4.978 4.978 5.582 Å, 70.71 70.71 39.88°
Fractional coordinates of all 4 atoms:
Au  0.750  0.750  0.750
Cr  0.009  0.009  0.866
Cr  0.491  0.491  0.634
La  0.250  0.250  0.250

- Total magnetic moment: 0.00 μB per cell
- Energy relative to the elements: 0.3669 eV/atom
- ΔE to the lowest computed polymorph: 29.5 kJ/mol of atoms
- Volume: 20.76 Å³ per atom
- Energy: -6.50 eV/atom

# 5
Below is PmSmYTl after structural relaxation, with properties calculated at the PBE level.

Cell: 4.870 5.025 4.878 Å, 90.00 90.00 90.00°
Fractional coordinates of all 4 atoms:
Pm  0.500  0.500  0.000
Sm  0.000  0.500  0.500
Y  0.000  0.000  0.000
Tl  0.500  0.000  0.500

- Total magnetic moment: 0.01 μB per cell
- Energy relative to the elements: -0.1983 eV/atom
- ΔE to the lowest computed polymorph: 0.0 kJ/mol of atoms
- Volume: 29.85 Å³ per atom
- Energy: -4.77 eV/atom

# 6
Below is Sm2Cu3Ag after structural relaxation, with properties calculated at the PBE level.

Cell: 5.727 5.727 8.455 Å, 106.05 106.05 100.59°
Fractional coordinates of all 12 atoms:
Sm  0.250  0.750  0.500
Sm  0.753  0.753  0.000
Sm  0.750  0.250  0.500
Sm  0.247  0.247  0.000
Cu  0.323  0.839  0.162
Cu  0.161  0.677  0.838
Cu  0.677  0.161  0.838
Cu  0.839  0.323  0.162
Cu  0.162  0.162  0.324
Cu  0.838  0.838  0.676
Ag  0.666  0.666  0.333
Ag  0.334  0.334  0.667

- Total magnetic moment: 0.00 μB per cell
- Energy relative to the elements: -0.2153 eV/atom
- Volume: 20.48 Å³ per atom
- Energy: -4.31 eV/atom

# 7
Below is Sm2PaZnRu2 after structural relaxation, with properties calculated at the PBE level.

Cell: 6.975 6.818 7.736 Å, 116.15 116.80 90.00°
Fractional coordinates of all 12 atoms:
Sm  0.352  0.190  0.381
Sm  0.648  0.810  0.619
Sm  0.971  0.310  0.619
Sm  0.029  0.690  0.381
Pa  0.500  0.750  0.000
Pa  0.500  0.250  0.000
Zn  0.000  0.750  0.000
Zn  0.000  0.250  0.000
Ru  0.820  0.073  0.147
Ru  0.327  0.573  0.147
Ru  0.673  0.427  0.853
Ru  0.180  0.927  0.853

- Total magnetic moment: 0.00 μB per cell
- Energy relative to the elements: -0.3290 eV/atom
- Volume: 23.80 Å³ per atom
- Energy: -6.79 eV/atom

# 8
Below is LiCa2In2 after structural relaxation, with properties calculated at the PBE level.

Cell: 5.996 6.738 8.507 Å, 113.33 110.63 90.00°
Fractional coordinates of all 10 atoms:
Li  0.750  0.500  0.000
Li  0.250  0.500  0.000
Ca  0.872  0.715  0.745
Ca  0.128  0.285  0.255
Ca  0.628  0.971  0.255
Ca  0.372  0.029  0.745
In  0.354  0.502  0.707
In  0.646  0.498  0.293
In  0.146  0.795  0.293
In  0.854  0.205  0.707

- Total magnetic moment: 0.00 μB per cell
- Energy relative to the elements: -0.1880 eV/atom
- ΔE to the lowest computed polymorph: 15.5 kJ/mol of atoms
- Volume: 29.14 Å³ per atom
- Energy: -2.47 eV/atom